Crystalline Al3FeB at its relaxed geometry. Source: Alexandria, functional PBE.

Values from the calculation:
Spin magnetization ... 0.0 μB per formula unit
Theoretical density ... 3.64 Mg/m³
E above lowest polymorph ... 0.000 eV per atom
Energy of formation ... 531 meV per atom
Raw total energy ... -4.742 eV per atom

```
Al3FeB
1.0
4.0701 0.0000 0.0000
0.0000 4.0701 0.0000
0.0000 0.0000 4.0701
Al Fe B
3 1 1
direct
0.0000 0.0000 0.5000
0.0000 0.5000 0.0000
0.5000 0.0000 0.0000
0.5000 0.5000 0.5000
0.0000 0.0000 0.0000
```

***

Crystalline AlFeB at its relaxed geometry. Source: Alexandria, functional PBE.

Values from the calculation:
Spin magnetization ... 0.0 μB per formula unit
Theoretical density ... 5.37 Mg/m³
E above lowest polymorph ... 0.000 eV per atom
Energy of formation ... -279 meV per atom
Raw total energy ... -6.573 eV per atom

```
AlFeB
1.0
10.3253 0.0000 0.0000
0.0000 2.8917 0.0000
0.0000 0.0000 5.8185
Al Fe B
6 6 6
direct
0.0530 0.0000 0.2379
0.2500 0.0000 0.6497
0.4470 0.0000 0.2379
0.5530 0.0000 0.7621
0.7500 0.0000 0.3503
0.9470 0.0000 0.7621
0.1246 0.5000 0.9115
0.2500 0.5000 0.3108
0.3754 0.5000 0.9115
0.6246 0.5000 0.0885
0.7500 0.5000 0.6892
0.8754 0.5000 0.0885
0.0799 0.5000 0.5567
0.2500 0.0000 0.0437
0.4201 0.5000 0.5567
0.5799 0.5000 0.4433
0.7500 0.0000 0.9563
0.9201 0.5000 0.4433
```

***

Crystalline AlFeB4 at its relaxed geometry. Source: Alexandria, functional PBE.

Values from the calculation:
Spin magnetization ... 0.0 μB per formula unit
Theoretical density ... 4.23 Mg/m³
Energy of formation ... -64 meV per atom
Raw total energy ... -6.550 eV per atom

```
AlFeB4
1.0
5.9308 0.0000 0.0000
0.0000 10.5568 0.0000
0.0000 0.0000 3.1582
Al Fe B
4 4 16
direct
0.0921 0.1454 0.0000
0.4079 0.6454 0.0000
0.5921 0.3546 0.0000
0.9079 0.8546 0.0000
0.1588 0.4112 0.0000
0.3412 0.9112 0.0000
0.6589 0.0888 0.0000
0.8412 0.5888 0.0000
0.0123 0.2981 0.5000
0.1077 0.5581 0.5000
0.1372 0.9803 0.5000
0.1922 0.8144 0.5000
0.3078 0.3144 0.5000
0.3628 0.4803 0.5000
0.3923 0.0581 0.5000
0.4877 0.7981 0.5000
0.5123 0.2019 0.5000
0.6077 0.9419 0.5000
0.6372 0.5197 0.5000
0.6922 0.6856 0.5000
0.8078 0.1856 0.5000
0.8628 0.0197 0.5000
0.8923 0.4419 0.5000
0.9877 0.7019 0.5000
```

***

Crystalline Al6Fe10B at its relaxed geometry. Source: Alexandria, functional PBE.

Values from the calculation:
Spin magnetization ... 18.7 μB per formula unit
Theoretical density ... 5.95 Mg/m³
Energy of formation ... -199 meV per atom
Raw total energy ... -6.890 eV per atom

```
Al6Fe10B
1.0
7.0342 0.0000 0.0000
-3.5171 6.0918 0.0000
0.0000 0.0000 4.7642
Al Fe B
6 10 1
direct
0.0000 0.4001 0.2515
0.0000 0.5999 0.7485
0.4001 0.0000 0.2515
0.4001 0.4001 0.7485
0.5999 0.0000 0.7485
0.5999 0.5999 0.2515
0.0000 0.2321 0.7616
0.0000 0.7679 0.2384
0.2321 0.0000 0.7616
0.2321 0.2321 0.2384
0.3333 0.6667 0.0000
0.3333 0.6667 0.5000
0.6667 0.3333 0.0000
0.6667 0.3333 0.5000
0.7679 0.0000 0.2384
0.7679 0.7679 0.7616
0.0000 0.0000 0.5000
```